CaMnSe2 | Alexandria | GGA-PBEsol | relaxed; formation energy from raw total energies = -113 meV/atom; theoretical density = 5.07 g/cm³; energy relative to the lowest polymorph listed for this composition = 979 meV per atom; total energy = -20.05 eV for the cell shown; size of the total moment = 4.81 Bohr magnetons per cell
1.0
4.8947 0.0000 0.0000
2.4474 4.2389 0.0000
2.4474 1.4130 3.9965
Se Mn Ca
2 1 1
direct
0.0000 0.0000 0.0000
0.7500 0.7500 0.7500
0.2500 0.2500 0.2500
0.5000 0.5000 0.5000